A plane-wave DFT calculation with GGA-PBE was carried out for an optimized crystal structure of YBeAg.

Energy of formation from the pure elements = 170.4 meV per atom
Space group = F-43m, No. 216

Structure (POSCAR):
```
YBeAg
1.0
4.452 0.000 0.000
2.226 3.856 0.000
2.226 1.285 3.635
Y Be Ag
1 1 1
Direct
0.000 0.000 0.000 Y
0.750 0.750 0.750 Be
0.500 0.500 0.500 Ag
```

***

A plane-wave DFT calculation with GGA-PBE was carried out for an optimized crystal structure of BeCd2W.

Energy of formation from the pure elements = 383.2 meV per atom
Space group = Cmm2, No. 35

Structure (POSCAR):
```
BeCd2W
1.0
-0.660 -1.560 -2.218
2.720 0.482 -0.395
1.952 -7.285 4.542
Be W Cd
1 1 2
Direct
0.500 0.500 0.731 Be
0.000 0.000 0.539 W
0.000 0.000 0.961 Cd
0.500 0.500 0.269 Cd
```

***

A plane-wave DFT calculation with GGA-PBE was carried out for an optimized crystal structure of Rb4RhO4.

Raw formation energy = -1.097 eV per atom
Space group = I4/m, No. 87

Structure (POSCAR):
```
Rb4RhO4
1.0
5.659 0.000 0.000
0.000 8.422 0.000
0.000 0.000 8.422
Rb Rh O
8 2 8
Direct
0.250 0.543 0.144 Rb
0.250 0.957 0.356 Rb
0.750 0.856 0.043 Rb
0.750 0.644 0.457 Rb
0.750 0.457 0.856 Rb
0.750 0.043 0.644 Rb
0.250 0.144 0.957 Rb
0.250 0.356 0.543 Rb
0.750 0.250 0.250 Rh
0.250 0.750 0.750 Rh
0.250 0.683 0.528 O
0.250 0.817 0.972 O
0.750 0.472 0.183 O
0.750 0.028 0.317 O
0.750 0.317 0.472 O
0.750 0.183 0.028 O
0.250 0.528 0.817 O
0.250 0.972 0.683 O
```

***

Number 1: total magnetic moment 0.000 μB per cell, mass density 5.5 g/cm3. Number 2: total magnetic moment 0.000 μB per cell, mass density 10.4 g/cm3. Number 3: total magnetic moment 6.007 μB per cell, mass density 4.2 g/cm3.